(1)
The following is a DFT calculation (SCAN) of InTe5Pb4 at its PBEsol-relaxed geometry.

Properties
theoretical density = 8.08 Mg/m³
space group = I4/mmm, No. 139
raw formation energy = -0.351 eV/atom
energy above the lowest structure with this stoichiometry = 0.000 eV/atom
size of the total moment = 0.0 μB/f.u.

a = 16.327 Å, b = 16.327 Å, c = 16.327 Å
α = 164.14°, β = 164.14°, γ = 22.50°
Fractional positions:
In 0.000 0.000 0.000
Te 0.098 0.098 0.000
Te 0.300 0.300 0.000
Te 0.500 0.500 0.000
Te 0.700 0.700 0.000
Te 0.902 0.902 0.000
Pb 0.199 0.199 0.000
Pb 0.400 0.400 0.000
Pb 0.600 0.600 0.000
Pb 0.801 0.801 0.000

***

(2)
The following is a DFT calculation (SCAN) of YNbBrF2 at its PBEsol-relaxed geometry.

Properties
theoretical density = 4.54 Mg/m³
space group = P4/mmm, No. 123
raw formation energy = -1.795 eV/atom
size of the total moment = 4.8 μB/f.u.

a = 4.250 Å, b = 4.250 Å, c = 6.064 Å
α = 90.00°, β = 90.00°, γ = 90.00°
Fractional positions:
Y 0.000 0.000 0.000
Nb 0.500 0.500 0.500
Br 0.000 0.000 0.500
F 0.000 0.500 0.000
F 0.500 0.000 0.000

***

(3)
The following is a DFT calculation (SCAN) of MgAl2Au at its PBEsol-relaxed geometry.

Properties
theoretical density = 6.60 Mg/m³
space group = Pmmm, No. 47
energy of formation from the pure elements = -0.234 eV per atom
size of the total moment = 0.0 μB/f.u.

a = 3.121 Å, b = 3.986 Å, c = 5.568 Å
α = 90.00°, β = 90.00°, γ = 90.00°
Fractional positions:
Mg 0.000 0.000 0.000
Al 0.500 0.500 0.260
Al 0.500 0.500 0.740
Au 0.000 0.000 0.500

***

(4)
The following is a DFT calculation (SCAN) of AlTeF2 at its PBEsol-relaxed geometry.

Properties
theoretical density = 5.19 Mg/m³
space group = Fm-3m, No. 225
raw formation energy = -0.651 eV/atom
size of the total moment = 0.8 μB/f.u.

a = 4.433 Å, b = 4.433 Å, c = 4.433 Å
α = 60.00°, β = 60.00°, γ = 60.00°
Fractional positions:
Al 0.000 0.000 0.000
Te 0.500 0.500 0.500
F 0.250 0.250 0.250
F 0.750 0.750 0.750

***

(5)
The following is a DFT calculation (SCAN) of CdIn2PI at its PBEsol-relaxed geometry.

Properties
theoretical density = 4.91 Mg/m³
space group = P4/mmm, No. 123
raw formation energy = 0.681 eV/atom
size of the total moment = 2.1 μB/f.u.

a = 5.482 Å, b = 5.482 Å, c = 5.630 Å
α = 90.00°, β = 90.00°, γ = 90.00°
Fractional positions:
Cd 0.000 0.000 0.000
In 0.000 0.500 0.000
In 0.500 0.000 0.000
P 0.500 0.500 0.500
I 0.000 0.000 0.500

***

(6)
The following is a DFT calculation (SCAN) of TcGeAs3 at its PBEsol-relaxed geometry.

Properties
theoretical density = 6.12 Mg/m³
space group = Pm-3m, No. 221
energy of formation from the pure elements = 1.305 eV per atom
energy above the lowest structure with this stoichiometry = 0.658 eV/atom
size of the total moment = 2.9 μB/f.u.

a = 4.753 Å, b = 4.753 Å, c = 4.753 Å
α = 90.00°, β = 90.00°, γ = 90.00°
Fractional positions:
Tc 0.000 0.000 0.000
Ge 0.500 0.500 0.500
As 0.000 0.500 0.500
As 0.500 0.000 0.500
As 0.500 0.500 0.000

***

(7)
The following is a DFT calculation (SCAN) of Ca3PbN at its PBEsol-relaxed geometry.

Properties
theoretical density = 4.91 Mg/m³
space group = Pm-3m, No. 221
raw formation energy = -0.963 eV/atom
size of the total moment = 0.0 μB/f.u.

a = 4.870 Å, b = 4.870 Å, c = 4.870 Å
α = 90.00°, β = 90.00°, γ = 90.00°
Fractional positions:
Ca 0.000 0.000 0.500
Ca 0.000 0.500 0.000
Ca 0.500 0.000 0.000
Pb 0.500 0.500 0.500
N 0.000 0.000 0.000

***

(8)
The following is a DFT calculation (SCAN) of CrIrBr2 at its PBEsol-relaxed geometry.

Properties
theoretical density = 9.26 Mg/m³
space group = Cmmm, No. 65
raw formation energy = 0.836 eV/atom
energy above the lowest structure with this stoichiometry = 0.308 eV/atom
size of the total moment = 3.3 μB/f.u.

a = 3.186 Å, b = 3.186 Å, c = 8.532 Å
α = 90.00°, β = 90.00°, γ = 123.26°
Fractional positions:
Cr 0.000 0.000 0.000
Ir 0.000 0.000 0.500
Br 0.500 0.500 0.232
Br 0.500 0.500 0.768

***

(9)
The following is a DFT calculation (SCAN) of Li2MgRe2 at its PBEsol-relaxed geometry.

Properties
theoretical density = 9.20 Mg/m³
space group = I4/mmm, No. 139
energy of formation from the pure elements = 0.522 eV per atom
size of the total moment = 0.0 μB/f.u.

a = 6.139 Å, b = 6.139 Å, c = 6.139 Å
α = 145.44°, β = 145.44°, γ = 49.68°
Fractional positions:
Li 0.092 0.092 0.000
Li 0.908 0.908 0.000
Mg 0.500 0.500 0.000
Re 0.250 0.750 0.500
Re 0.750 0.250 0.500

***

(10)
The following is a DFT calculation (SCAN) of TcHg2Sb at its PBEsol-relaxed geometry.

Properties
theoretical density = 12.37 Mg/m³
space group = P4/mmm, No. 123
raw formation energy = 0.571 eV/atom
size of the total moment = 2.3 μB/f.u.

a = 3.006 Å, b = 3.006 Å, c = 9.224 Å
α = 90.00°, β = 90.00°, γ = 90.00°
Fractional positions:
Tc 0.000 0.000 0.000
Hg 0.500 0.500 0.209
Hg 0.500 0.500 0.791
Sb 0.000 0.000 0.500

***

(11)
The following is a DFT calculation (SCAN) of Li3Co2Si2O8 at its PBEsol-relaxed geometry.

Properties
theoretical density = 3.08 Mg/m³
space group = C2, No. 5
raw formation energy = -2.221 eV/atom
energy above the lowest structure with this stoichiometry = 0.056 eV/atom
size of the total moment = 7.0 μB/f.u.

a = 5.138 Å, b = 5.138 Å, c = 6.615 Å
α = 92.15°, β = 92.15°, γ = 88.14°
Fractional positions:
Li 0.000 0.000 0.000
Li 0.235 0.430 0.064
Li 0.570 0.765 0.936
Co 0.325 0.675 0.500
Co 0.940 0.060 0.500
Si 0.463 0.194 0.750
Si 0.806 0.537 0.250
O 0.311 0.049 0.550
O 0.348 0.092 0.954
O 0.419 0.511 0.741
O 0.489 0.581 0.259
O 0.771 0.098 0.742
O 0.902 0.229 0.258
O 0.908 0.652 0.046
O 0.951 0.689 0.450

***

(12)
The following is a DFT calculation (SCAN) of TaCoRe at its PBEsol-relaxed geometry.

Properties
theoretical density = 16.87 Mg/m³
space group = I4mm, No. 107
energy of formation from the pure elements = -0.003 eV per atom
energy above the lowest structure with this stoichiometry = 0.000 eV/atom
size of the total moment = 0.0 μB/f.u.

a = 6.138 Å, b = 6.138 Å, c = 6.138 Å
α = 154.77°, β = 154.77°, γ = 35.97°
Fractional positions:
Ta 0.000 0.000 0.000
Co 0.667 0.667 0.000
Re 0.308 0.308 0.000

***

(13)
The following is a DFT calculation (SCAN) of Cs2CeTa6Br15O3 at its PBEsol-relaxed geometry.

Properties
theoretical density = 6.53 Mg/m³
space group = P-31c, No. 163
raw formation energy = -1.617 eV/atom
size of the total moment = 1.0 μB/f.u.

a = 9.438 Å, b = 9.438 Å, c = 18.050 Å
α = 90.00°, β = 90.00°, γ = 120.00°
Fractional positions:
Cs 0.333 0.667 0.045
Cs 0.333 0.667 0.455
Cs 0.667 0.333 0.545
Cs 0.667 0.333 0.955
Ce 0.333 0.667 0.750
Ce 0.667 0.333 0.250
Ta 0.016 0.190 0.686
Ta 0.016 0.826 0.814
Ta 0.174 0.190 0.814
Ta 0.174 0.984 0.686
Ta 0.190 0.016 0.186
Ta 0.190 0.174 0.314
Ta 0.810 0.826 0.686
Ta 0.810 0.984 0.814
Ta 0.826 0.016 0.314
Ta 0.826 0.810 0.186
Ta 0.984 0.174 0.186
Ta 0.984 0.810 0.314
Br 0.018 0.223 0.413
Br 0.018 0.795 0.087
Br 0.075 0.473 0.618
Br 0.075 0.602 0.882
Br 0.205 0.223 0.087
Br 0.205 0.982 0.413
Br 0.215 0.430 0.250
Br 0.215 0.785 0.250
Br 0.223 0.018 0.913
Br 0.223 0.205 0.587
Br 0.398 0.473 0.882
Br 0.398 0.925 0.618
Br 0.430 0.215 0.750
Br 0.473 0.075 0.118
Br 0.473 0.398 0.382
Br 0.527 0.602 0.618
Br 0.527 0.925 0.882
Br 0.570 0.785 0.250
Br 0.602 0.075 0.382
Br 0.602 0.527 0.118
Br 0.777 0.795 0.413
Br 0.777 0.982 0.087
Br 0.785 0.215 0.750
Br 0.785 0.570 0.750
Br 0.795 0.018 0.587
Br 0.795 0.777 0.913
Br 0.925 0.398 0.118
Br 0.925 0.527 0.382
Br 0.982 0.205 0.913
Br 0.982 0.777 0.587
O 0.183 0.365 0.750
O 0.183 0.817 0.750
O 0.365 0.183 0.250
O 0.635 0.817 0.750
O 0.817 0.183 0.250
O 0.817 0.635 0.250

***

(14)
The following is a DFT calculation (SCAN) of K3BiP2S8 at its PBEsol-relaxed geometry.

Properties
theoretical density = 2.97 Mg/m³
space group = P2_12_12_1, No. 19
raw formation energy = -0.861 eV/atom
size of the total moment = 0.0 μB/f.u.

a = 6.712 Å, b = 8.926 Å, c = 24.103 Å
α = 90.00°, β = 90.00°, γ = 90.00°
Fractional positions:
K 0.004 0.112 0.287
K 0.004 0.250 0.086
K 0.009 0.509 0.809
K 0.491 0.491 0.309
K 0.496 0.750 0.586
K 0.496 0.888 0.787
K 0.504 0.250 0.914
K 0.504 0.388 0.713
K 0.509 0.991 0.191
K 0.991 0.009 0.691
K 0.996 0.612 0.213
K 0.996 0.750 0.414
Bi 0.061 0.350 0.551
Bi 0.439 0.650 0.051
Bi 0.561 0.150 0.449
Bi 0.939 0.850 0.949
P 0.002 0.098 0.841
P 0.016 0.854 0.089
P 0.484 0.146 0.589
P 0.498 0.902 0.341
P 0.502 0.402 0.159
P 0.516 0.646 0.911
P 0.984 0.354 0.411
P 0.998 0.598 0.659
S 0.017 0.646 0.574
S 0.024 0.866 0.836
S 0.025 0.934 0.166
S 0.046 0.624 0.082
S 0.240 0.940 0.040
S 0.243 0.674 0.698
S 0.248 0.418 0.448
S 0.249 0.190 0.809
S 0.251 0.810 0.309
S 0.252 0.582 0.948
S 0.257 0.326 0.198
S 0.260 0.060 0.540
S 0.454 0.376 0.582
S 0.475 0.066 0.666
S 0.476 0.134 0.336
S 0.483 0.354 0.074
S 0.517 0.854 0.426
S 0.524 0.634 0.164
S 0.525 0.566 0.834
S 0.546 0.876 0.918
S 0.740 0.560 0.960
S 0.743 0.826 0.302
S 0.748 0.082 0.552
S 0.749 0.310 0.191
S 0.751 0.690 0.691
S 0.752 0.918 0.052
S 0.757 0.174 0.802
S 0.760 0.440 0.460
S 0.954 0.124 0.418
S 0.975 0.434 0.334
S 0.976 0.366 0.664
S 0.983 0.146 0.926

***

(15)
The following is a DFT calculation (SCAN) of LaAsRhBr2 at its PBEsol-relaxed geometry.

Properties
theoretical density = 6.68 Mg/m³
space group = P4/mmm, No. 123
raw formation energy = -0.721 eV/atom
size of the total moment = 0.0 μB/f.u.

a = 4.901 Å, b = 4.901 Å, c = 4.928 Å
α = 90.00°, β = 90.00°, γ = 90.00°
Fractional positions:
La 0.000 0.000 0.000
As 0.500 0.500 0.000
Rh 0.500 0.500 0.500
Br 0.000 0.500 0.500
Br 0.500 0.000 0.500

***

(16)
The following is a DFT calculation (SCAN) of Er2Ru2O7 at its PBEsol-relaxed geometry.

Properties
theoretical density = 8.60 Mg/m³
space group = Fd-3m, No. 227
raw formation energy = -2.492 eV/atom
size of the total moment = 4.0 μB/f.u.

a = 7.077 Å, b = 7.077 Å, c = 7.077 Å
α = 60.00°, β = 60.00°, γ = 60.00°
Fractional positions:
Er 0.000 0.000 0.000
Er 0.000 0.000 0.500
Er 0.000 0.500 0.000
Er 0.500 0.000 0.000
Ru 0.000 0.500 0.500
Ru 0.500 0.000 0.500
Ru 0.500 0.500 0.000
Ru 0.500 0.500 0.500
O 0.125 0.125 0.125
O 0.164 0.164 0.586
O 0.164 0.586 0.164
O 0.164 0.586 0.586
O 0.414 0.414 0.836
O 0.414 0.836 0.414
O 0.414 0.836 0.836
O 0.586 0.164 0.164
O 0.586 0.164 0.586
O 0.586 0.586 0.164
O 0.836 0.414 0.414
O 0.836 0.414 0.836
O 0.836 0.836 0.414
O 0.875 0.875 0.875

***

(17)
The following is a DFT calculation (SCAN) of MnCdOs2 at its PBEsol-relaxed geometry.

Properties
theoretical density = 15.23 Mg/m³
space group = Pmm2, No. 25
energy of formation from the pure elements = 0.185 eV per atom
size of the total moment = 3.8 μB/f.u.

a = 2.781 Å, b = 3.812 Å, c = 5.634 Å
α = 90.00°, β = 90.00°, γ = 90.00°
Fractional positions:
Mn 0.000 0.000 0.000
Cd 0.500 0.500 0.740
Os 0.000 0.000 0.444
Os 0.500 0.500 0.242

***

(18)
The following is a DFT calculation (SCAN) of SrLiAl4 at its PBEsol-relaxed geometry.

Properties
theoretical density = 2.69 Mg/m³
space group = F-43m, No. 216
energy of formation from the pure elements = -0.122 eV per atom
size of the total moment = 0.5 μB/f.u.

a = 5.615 Å, b = 5.615 Å, c = 5.615 Å
α = 60.00°, β = 60.00°, γ = 60.00°
Fractional positions:
Sr 0.000 0.000 0.000
Li 0.750 0.750 0.750
Al 0.375 0.375 0.375
Al 0.375 0.375 0.875
Al 0.375 0.875 0.375
Al 0.875 0.375 0.375

***

(19)
The following is a DFT calculation (SCAN) of TaFeAu2 at its PBEsol-relaxed geometry.

Properties
theoretical density = 16.46 Mg/m³
space group = Fm-3m, No. 225
energy of formation from the pure elements = 0.026 eV per atom
energy above the lowest structure with this stoichiometry = 0.059 eV/atom
size of the total moment = 2.7 μB/f.u.

a = 4.481 Å, b = 4.481 Å, c = 4.481 Å
α = 60.00°, β = 60.00°, γ = 60.00°
Fractional positions:
Ta 0.000 0.000 0.000
Fe 0.500 0.500 0.500
Au 0.250 0.250 0.250
Au 0.750 0.750 0.750

***

(20)
The following is a DFT calculation (SCAN) of DyHoZn2 at its PBEsol-relaxed geometry.

Properties
theoretical density = 8.92 Mg/m³
space group = Fm-3m, No. 225
energy of formation from the pure elements = -0.422 eV per atom
size of the total moment = 0.0 μB/f.u.

a = 4.941 Å, b = 4.941 Å, c = 4.941 Å
α = 60.00°, β = 60.00°, γ = 60.00°
Fractional positions:
Dy 0.000 0.000 0.000
Ho 0.500 0.500 0.500
Zn 0.250 0.250 0.250
Zn 0.750 0.750 0.750

***

(21)
The following is a DFT calculation (SCAN) of Ni3HW at its PBEsol-relaxed geometry.

Properties
theoretical density = 12.25 Mg/m³
space group = Pm-3m, No. 221
uncorrected energy = -120.5 eV/cell
size of the total moment = 3.0 μB/f.u.

a = 3.658 Å, b = 3.658 Å, c = 3.658 Å
α = 90.00°, β = 90.00°, γ = 90.00°
Fractional positions:
Ni 0.000 0.000 0.500
Ni 0.000 0.500 0.000
Ni 0.500 0.000 0.000
H 0.000 0.000 0.000
W 0.500 0.500 0.500

***

(22)
The following is a DFT calculation (SCAN) of Nb3CuH at its PBEsol-relaxed geometry.

Properties
theoretical density = 8.42 Mg/m³
space group = Pm-3m, No. 221
uncorrected energy = -118.0 eV/cell
size of the total moment = 0.0 μB/f.u.

a = 4.076 Å, b = 4.076 Å, c = 4.076 Å
α = 90.00°, β = 90.00°, γ = 90.00°
Fractional positions:
Nb 0.000 0.000 0.500
Nb 0.000 0.500 0.000
Nb 0.500 0.000 0.000
Cu 0.500 0.500 0.500
H 0.000 0.000 0.000